Record 1
Density functional theory data (PBE) for crystalline Ca2TbGe3Au12 at its relaxed geometry.

POSCAR file:
```
Ca2TbGe3Au12
1.0
4.597 2.654 5.886
-4.597 2.654 5.886
0.000 -5.308 5.886
Ca Tb Ge Au
2 1 3 12
Direct
0.096 0.096 0.096
0.904 0.904 0.904
0.500 0.500 0.500
0.000 0.500 0.500
0.500 0.000 0.500
0.500 0.500 0.000
0.117 0.659 0.659
0.193 0.193 0.667
0.193 0.667 0.193
0.333 0.807 0.807
0.341 0.341 0.883
0.341 0.883 0.341
0.659 0.117 0.659
0.659 0.659 0.117
0.667 0.193 0.193
0.807 0.333 0.807
0.807 0.807 0.333
0.883 0.341 0.341
```

Computed properties:
The calculated density comes out at 10.87 g cm⁻³.


Record 2
Density functional theory data (PBE) for crystalline CaTl2Ge3Au12 at its relaxed geometry.

POSCAR file:
```
CaTl2Ge3Au12
1.0
4.729 2.730 5.447
-4.729 2.730 5.447
0.000 -5.461 5.447
Ca Tl Ge Au
1 2 3 12
Direct
0.000 0.000 0.000
0.398 0.398 0.398
0.602 0.602 0.602
0.000 0.000 0.500
0.000 0.500 0.000
0.500 0.000 0.000
0.150 0.686 0.686
0.165 0.165 0.631
0.165 0.631 0.165
0.314 0.314 0.850
0.314 0.850 0.314
0.369 0.835 0.835
0.631 0.165 0.165
0.686 0.150 0.686
0.686 0.686 0.150
0.835 0.369 0.835
0.835 0.835 0.369
0.850 0.314 0.314
```

Computed properties:
The calculated density comes out at 11.92 g cm⁻³.


Record 3
Density functional theory data (PBE) for crystalline CaTl2Ge2Au7 at its relaxed geometry.

POSCAR file:
```
CaTl2Ge2Au7
1.0
3.030 -3.039 0.000
3.030 3.039 0.000
-2.759 0.000 15.779
Ca Tl Ge Au
1 2 2 7
Direct
0.000 0.000 0.000
0.210 0.210 0.418
0.790 0.790 0.582
0.394 0.394 0.768
0.606 0.606 0.232
0.064 0.564 0.138
0.302 0.302 0.608
0.436 0.936 0.862
0.500 0.500 0.000
0.564 0.064 0.138
0.698 0.698 0.392
0.936 0.436 0.862
```

Computed properties:
The calculated density comes out at 11.27 g cm⁻³.


Record 4
Density functional theory data (PBE) for crystalline CaTmGeAu at its relaxed geometry.

POSCAR file:
```
CaTmGeAu
1.0
0.000 3.581 3.581
3.581 0.000 3.581
3.581 3.581 0.000
Ca Tm Ge Au
1 1 1 1
Direct
0.000 0.000 0.000
0.500 0.500 0.500
0.750 0.750 0.750
0.250 0.250 0.250
```

Computed properties:
The calculated density comes out at 8.65 g cm⁻³.


Record 5
Density functional theory data (PBE) for crystalline CaGeWAu2 at its relaxed geometry.

POSCAR file:
```
CaGeWAu2
1.0
4.859 0.000 0.000
0.000 4.859 0.000
0.000 0.000 5.359
Ca Ge W Au
1 1 1 2
Direct
0.000 0.000 0.000
0.000 0.000 0.500
0.500 0.500 0.000
0.000 0.500 0.500
0.500 0.000 0.500
```

Computed properties:
The calculated density comes out at 9.06 g cm⁻³.


Record 6
Density functional theory data (PBE) for crystalline Ca2YGe3Au12 at its relaxed geometry.

POSCAR file:
```
Ca2YGe3Au12
1.0
4.595 2.653 5.888
-4.595 2.653 5.888
0.000 -5.306 5.888
Ca Y Ge Au
2 1 3 12
Direct
0.096 0.096 0.096
0.904 0.904 0.904
0.500 0.500 0.500
0.000 0.500 0.500
0.500 0.000 0.500
0.500 0.500 0.000
0.117 0.659 0.659
0.193 0.193 0.667
0.193 0.667 0.193
0.333 0.807 0.807
0.341 0.341 0.883
0.341 0.883 0.341
0.659 0.117 0.659
0.659 0.659 0.117
0.667 0.193 0.193
0.807 0.333 0.807
0.807 0.807 0.333
0.883 0.341 0.341
```

Computed properties:
The calculated density comes out at 10.60 g cm⁻³.


Record 7
Density functional theory data (PBE) for crystalline CaYGeAu at its relaxed geometry.

POSCAR file:
```
CaYGeAu
1.0
0.000 3.610 3.610
3.610 0.000 3.610
3.610 3.610 0.000
Ca Y Ge Au
1 1 1 1
Direct
0.000 0.000 0.000
0.500 0.500 0.500
0.250 0.250 0.250
0.750 0.750 0.750
```

Computed properties:
The calculated density comes out at 7.04 g cm⁻³.


Record 8
Density functional theory data (PBE) for crystalline Ca2Zn3Ge4Au at its relaxed geometry.

POSCAR file:
```
Ca2Zn3Ge4Au
1.0
4.306 0.000 0.000
0.000 4.306 0.000
0.000 0.000 10.834
Ca Zn Ge Au
2 3 4 1
Direct
0.000 0.500 0.244
0.500 0.000 0.756
0.000 0.000 0.000
0.000 0.500 0.636
0.500 0.000 0.364
0.000 0.000 0.500
0.000 0.500 0.860
0.500 0.000 0.140
0.500 0.500 0.500
0.500 0.500 0.000
```

Computed properties:
The calculated density comes out at 6.31 g cm⁻³.


Record 9
Density functional theory data (PBE) for crystalline CaZnGeAu6 at its relaxed geometry.

POSCAR file:
```
CaZnGeAu6
1.0
-3.692 4.604 5.413
3.692 -4.604 5.413
3.692 4.604 -5.413
Ca Zn Ge Au
2 2 2 12
Direct
0.461 0.211 0.250
0.539 0.789 0.750
0.000 0.000 0.500
0.000 0.500 0.000
0.000 0.000 0.000
0.500 0.000 0.500
0.141 0.437 0.319
0.141 0.822 0.704
0.164 0.914 0.250
0.237 0.487 0.750
0.382 0.178 0.819
0.382 0.563 0.204
0.618 0.437 0.796
0.618 0.822 0.181
0.763 0.513 0.250
0.836 0.086 0.750
0.859 0.178 0.296
0.859 0.563 0.681
```

Computed properties:
The calculated density comes out at 12.27 g cm⁻³.


Record 10
Density functional theory data (PBE) for crystalline Ca2Zn3GeAu4 at its relaxed geometry.

POSCAR file:
```
Ca2Zn3GeAu4
1.0
4.320 0.000 0.000
0.000 4.320 0.000
0.000 0.000 11.150
Ca Zn Ge Au
2 3 1 4
Direct
0.000 0.500 0.245
0.500 0.000 0.755
0.000 0.000 0.000
0.000 0.500 0.634
0.500 0.000 0.366
0.500 0.500 0.000
0.000 0.000 0.500
0.000 0.500 0.861
0.500 0.000 0.139
0.500 0.500 0.500
```

Computed properties:
The calculated density comes out at 9.07 g cm⁻³.


Record 11
Density functional theory data (PBE) for crystalline Ca2Zn4Ge3Au at its relaxed geometry.

POSCAR file:
```
Ca2Zn4Ge3Au
1.0
4.219 0.000 0.000
0.000 4.219 0.000
0.000 0.000 11.034
Ca Zn Ge Au
2 4 3 1
Direct
0.000 0.500 0.249
0.500 0.000 0.751
0.000 0.000 0.000
0.000 0.500 0.640
0.500 0.000 0.360
0.500 0.500 0.000
0.000 0.500 0.863
0.500 0.000 0.137
0.500 0.500 0.500
0.000 0.000 0.500
```

Computed properties:
The calculated density comes out at 6.40 g cm⁻³.


Record 12
Density functional theory data (PBE) for crystalline Ca2ZnGe4Au3 at its relaxed geometry.

POSCAR file:
```
Ca2ZnGe4Au3
1.0
4.314 0.000 0.000
0.000 4.314 0.000
0.000 0.000 11.185
Ca Zn Ge Au
2 1 4 3
Direct
0.000 0.500 0.241
0.500 0.000 0.759
0.500 0.500 0.000
0.000 0.000 0.500
0.000 0.500 0.866
0.500 0.000 0.134
0.500 0.500 0.500
0.000 0.000 0.000
0.000 0.500 0.642
0.500 0.000 0.358
```

Computed properties:
The calculated density comes out at 8.19 g cm⁻³.


Record 13
Density functional theory data (PBE) for crystalline CaZnGe2Au4 at its relaxed geometry.

POSCAR file:
```
CaZnGe2Au4
1.0
2.268 1.309 8.941
-2.268 1.309 8.941
0.000 -2.619 8.941
Ca Zn Ge Au
1 1 2 4
Direct
0.000 0.000 0.000
0.500 0.500 0.500
0.252 0.252 0.252
0.748 0.748 0.748
0.141 0.141 0.141
0.399 0.399 0.399
0.601 0.601 0.601
0.859 0.859 0.859
```

Computed properties:
The calculated density comes out at 10.83 g cm⁻³.


Record 14
Density functional theory data (PBE) for crystalline Ca3Zn2GeAu9 at its relaxed geometry.

POSCAR file:
```
Ca3Zn2GeAu9
1.0
7.910 0.000 0.000
-3.955 6.851 0.000
0.000 0.000 6.509
Ca Zn Ge Au
3 2 1 9
Direct
0.000 0.000 0.000
0.333 0.667 0.664
0.667 0.333 0.336
0.333 0.667 0.167
0.667 0.333 0.833
0.000 0.000 0.500
0.000 0.500 0.000
0.166 0.333 0.327
0.166 0.834 0.327
0.333 0.166 0.673
0.500 0.000 0.000
0.500 0.500 0.000
0.667 0.834 0.327
0.834 0.166 0.673
0.834 0.667 0.673
```

Computed properties:
The calculated density comes out at 9.87 g cm⁻³.


Record 15
Density functional theory data (PBE) for crystalline Ca2Zn3GeAu12 at its relaxed geometry.

POSCAR file:
```
Ca2Zn3GeAu12
1.0
3.536 2.041 9.017
-3.536 2.041 9.017
0.000 -4.083 9.017
Ca Zn Ge Au
2 3 1 12
Direct
0.147 0.147 0.147
0.853 0.853 0.853
0.000 0.500 0.500
0.500 0.000 0.500
0.500 0.500 0.000
0.500 0.500 0.500
0.087 0.087 0.686
0.087 0.686 0.087
0.126 0.593 0.593
0.314 0.913 0.913
0.407 0.407 0.874
0.407 0.874 0.407
0.593 0.126 0.593
0.593 0.593 0.126
0.686 0.087 0.087
0.874 0.407 0.407
0.913 0.314 0.913
0.913 0.913 0.314
```

Computed properties:
The calculated density comes out at 11.53 g cm⁻³.


Record 16
Density functional theory data (PBE) for crystalline Ca2H2Au at its relaxed geometry.

POSCAR file:
```
Ca2H2Au
1.0
-1.874 1.874 6.231
1.874 -1.874 6.231
1.874 1.874 -6.231
Ca H Au
2 2 1
Direct
0.145 0.145 0.000
0.855 0.855 0.000
0.250 0.750 0.500
0.750 0.250 0.500
0.500 0.500 0.000
```

Computed properties:
The calculated density comes out at 5.30 g cm⁻³.


Record 17
Density functional theory data (PBE) for crystalline Ca3H3Au at its relaxed geometry.

POSCAR file:
```
Ca3H3Au
1.0
3.388 1.956 6.854
-3.388 1.956 6.854
0.000 -3.912 6.854
Ca H Au
6 6 2
Direct
0.094 0.425 0.765
0.235 0.906 0.575
0.425 0.765 0.094
0.575 0.235 0.906
0.765 0.094 0.425
0.906 0.575 0.235
0.127 0.793 0.459
0.207 0.541 0.873
0.459 0.127 0.793
0.541 0.873 0.207
0.793 0.459 0.127
0.873 0.207 0.541
0.333 0.333 0.333
0.667 0.667 0.667
```

Computed properties:
The calculated density comes out at 3.90 g cm⁻³.


Record 18
Density functional theory data (PBE) for crystalline Ca3H2Au at its relaxed geometry.

POSCAR file:
```
Ca3H2Au
1.0
4.448 -5.916 0.000
4.448 5.916 0.000
0.000 0.000 4.865
Ca H Au
6 4 2
Direct
0.106 0.894 0.750
0.175 0.417 0.750
0.417 0.175 0.250
0.583 0.825 0.750
0.825 0.583 0.250
0.894 0.106 0.250
0.159 0.159 0.000
0.159 0.159 0.500
0.841 0.841 0.000
0.841 0.841 0.500
0.283 0.717 0.250
0.717 0.283 0.750
```

Computed properties:
The calculated density comes out at 4.14 g cm⁻³.


Record 19
Density functional theory data (PBE) for crystalline CaHAu at its relaxed geometry.

POSCAR file:
```
CaHAu
1.0
3.887 0.000 0.000
-1.944 3.366 0.000
0.000 0.000 4.369
Ca H Au
1 1 1
Direct
0.000 0.000 0.000
0.333 0.667 0.000
0.667 0.333 0.500
```

Computed properties:
The calculated density comes out at 6.91 g cm⁻³.


Record 20
Density functional theory data (PBE) for crystalline CaHAu at its relaxed geometry.

POSCAR file:
```
CaHAu
1.0
-1.669 1.669 4.932
1.669 -1.669 4.932
1.669 1.669 -4.932
Ca H Au
1 1 1
Direct
0.000 0.000 0.000
0.528 0.528 0.000
0.300 0.300 0.000
```

Computed properties:
The calculated density comes out at 7.19 g cm⁻³.


no.,raw total energy (eV/atom)
1,-3.592
2,-3.310
3,-3.390
4,-4.346
5,-4.098
6,-3.691
7,-4.859
8,-3.310
9,-3.263
10,-3.018
11,-2.999
12,-3.793
13,-3.476
14,-3.143
15,-3.068
16,-3.426
17,-3.253
18,-3.206
19,-3.305
20,-3.234